(1)
The following is a PBE-GGA calculation of a relaxed Gd4SBrN2 crystal, from OQMD.

POSCAR file:
```
Gd4SBrN2
1.0
3.6265 0.0000 0.0000
-1.8133 3.1407 0.0000
0.0000 0.0000 13.4763
Gd S Br N
4 1 1 2
direct
0.0000 0.0000 0.1408 Gd
0.0000 0.0000 0.8592 Gd
0.3333 0.6667 0.3328 Gd
0.3333 0.6667 0.6672 Gd
0.3333 0.6667 0.0000 S
0.0000 0.0000 0.5000 Br
0.6667 0.3333 0.2401 N
0.6667 0.3333 0.7599 N
```

Output
Raw total energy ... -6.76 eV per atom
Calculated volume ... 153.5 Å³/cell

***

(2)
The following is a PBE-GGA calculation of a relaxed NaLiMoPt crystal, from OQMD.

POSCAR file:
```
NaLiMoPt
1.0
0.0000 3.1505 3.1505
3.1505 0.0000 3.1505
3.1505 3.1505 0.0000
Na Li Mo Pt
1 1 1 1
direct
0.0000 0.0000 0.0000 Na
0.7500 0.7500 0.7500 Li
0.5000 0.5000 0.5000 Mo
0.2500 0.2500 0.2500 Pt
```

Output
Raw total energy ... -4.72 eV per atom
Relative energy among the computed polymorphs ... 0.061 eV/atom
Calculated volume ... 62.5 Å³/cell

***

(3)
The following is a PBE-GGA calculation of a relaxed SrUPd crystal, from OQMD.

POSCAR file:
```
SrUPd
1.0
0.0000 3.5444 3.5444
3.5444 0.0000 3.5444
3.5444 3.5444 0.0000
Sr U Pd
1 1 1
direct
0.0000 0.0000 0.0000 Sr
0.5000 0.5000 0.5000 U
0.2500 0.2500 0.2500 Pd
```

Output
Raw total energy ... -5.62 eV per atom
Relative energy among the computed polymorphs ... 0.000 eV/atom
Calculated volume ... 89.1 Å³/cell

***

(4)
The following is a PBE-GGA calculation of a relaxed K8Ga2Pd crystal, from OQMD.

POSCAR file:
```
K8Ga2Pd
1.0
7.4750 -5.5828 0.0000
7.4750 5.5828 0.0000
-1.1728 0.0000 7.4341
K Ga Pd
8 2 1
direct
0.0932 0.6733 0.8239 K
0.1426 0.1426 0.6810 K
0.3267 0.9068 0.1761 K
0.3767 0.3767 0.2955 K
0.6233 0.6233 0.7045 K
0.6733 0.0932 0.8239 K
0.8574 0.8574 0.3190 K
0.9068 0.3267 0.1761 K
0.3734 0.3734 0.7616 Ga
0.6266 0.6266 0.2384 Ga
0.5000 0.5000 0.0000 Pd
```

Output
Raw total energy ... -1.77 eV per atom
Calculated volume ... 620.5 Å³/cell

***

(5)
The following is a PBE-GGA calculation of a relaxed LaBeSnIr crystal, from OQMD.

POSCAR file:
```
LaBeSnIr
1.0
0.0000 3.4047 3.4047
3.4047 0.0000 3.4047
3.4047 3.4047 0.0000
La Be Sn Ir
1 1 1 1
direct
0.0000 0.0000 0.0000 La
0.7500 0.7500 0.7500 Be
0.5000 0.5000 0.5000 Sn
0.2500 0.2500 0.2500 Ir
```

Output
Raw total energy ... -5.54 eV per atom
Relative energy among the computed polymorphs ... 0.000 eV/atom
Calculated volume ... 78.9 Å³/cell

***

(6)
The following is a PBE-GGA calculation of a relaxed Dy2HoP3 crystal, from OQMD.

POSCAR file:
```
Dy2HoP3
1.0
3.9966 0.0000 0.0000
-1.9983 3.4611 0.0000
0.0000 0.0000 9.8052
Dy Ho P
2 1 3
direct
0.3333 0.6667 0.3331 Dy
0.6667 0.3333 0.6669 Dy
0.0000 0.0000 0.0000 Ho
0.0000 0.0000 0.5000 P
0.3333 0.6667 0.8340 P
0.6667 0.3333 0.1660 P
```

Output
Raw total energy ... -6.62 eV per atom
Calculated volume ... 135.6 Å³/cell

***

(7)
The following is a PBE-GGA calculation of a relaxed CoHgGeW crystal, from OQMD.

POSCAR file:
```
CoHgGeW
1.0
0.0000 3.1927 3.1927
3.1927 0.0000 3.1927
3.1927 3.1927 0.0000
Co Hg Ge W
1 1 1 1
direct
0.0000 0.0000 0.0000 Co
0.5000 0.5000 0.5000 Hg
0.7500 0.7500 0.7500 Ge
0.2500 0.2500 0.2500 W
```

Output
Raw total energy ... -5.27 eV per atom
Relative energy among the computed polymorphs ... 0.244 eV/atom
Calculated volume ... 65.1 Å³/cell

***

(8)
The following is a PBE-GGA calculation of a relaxed TmIn3C3 crystal, from OQMD.

POSCAR file:
```
TmIn3C3
1.0
3.7190 0.0000 0.0000
-1.8595 3.2207 0.0000
0.0000 0.0000 19.0598
Tm In C
2 6 6
direct
0.0000 0.0000 0.0000 Tm
0.0000 0.0000 0.5000 Tm
0.3333 0.6667 0.1230 In
0.3333 0.6667 0.3770 In
0.3333 0.6667 0.7500 In
0.6667 0.3333 0.2500 In
0.6667 0.3333 0.6230 In
0.6667 0.3333 0.8770 In
0.3333 0.6667 0.2500 C
0.3333 0.6667 0.5741 C
0.3333 0.6667 0.9259 C
0.6667 0.3333 0.0741 C
0.6667 0.3333 0.4259 C
0.6667 0.3333 0.7500 C
```

Output
Raw total energy ... -5.23 eV per atom
Calculated volume ... 228.3 Å³/cell

***

(9)
The following is a PBE-GGA calculation of a relaxed TaFeSiW crystal, from OQMD.

POSCAR file:
```
TaFeSiW
1.0
0.0000 3.0556 3.0556
3.0556 0.0000 3.0556
3.0556 3.0556 0.0000
Ta Fe Si W
1 1 1 1
direct
0.0000 0.0000 0.0000 Ta
0.7500 0.7500 0.7500 Fe
0.5000 0.5000 0.5000 Si
0.2500 0.2500 0.2500 W
```

Output
Raw total energy ... -9.64 eV per atom
Relative energy among the computed polymorphs ... 0.000 eV/atom
Calculated volume ... 57.1 Å³/cell

***

(10)
The following is a PBE-GGA calculation of a relaxed ZnCuAsPt crystal, from OQMD.

POSCAR file:
```
ZnCuAsPt
1.0
0.0000 3.1199 3.1199
3.1199 0.0000 3.1199
3.1199 3.1199 0.0000
Zn Cu As Pt
1 1 1 1
direct
0.0000 0.0000 0.0000 Zn
0.5000 0.5000 0.5000 Cu
0.2500 0.2500 0.2500 As
0.7500 0.7500 0.7500 Pt
```

Output
Raw total energy ... -3.91 eV per atom
Relative energy among the computed polymorphs ... 0.066 eV/atom
Calculated volume ... 60.7 Å³/cell

***

(11)
The following is a PBE-GGA calculation of a relaxed ZrW crystal, from OQMD.

POSCAR file:
```
ZrW
1.0
4.9316 0.0000 0.0000
0.0000 2.7123 0.0000
0.0000 0.0000 5.7008
Zr W
2 2
direct
0.2500 0.0000 0.1413 Zr
0.7500 0.0000 0.8587 Zr
0.2500 0.5000 0.6252 W
0.7500 0.5000 0.3748 W
```

Output
Raw total energy ... -10.38 eV per atom
Formation energy ... 0.377 eV/atom
Calculated volume ... 76.3 Å³/cell

***

(12)
The following is a PBE-GGA calculation of a relaxed AcLu3C crystal, from OQMD.

POSCAR file:
```
AcLu3C
1.0
5.0095 0.0000 0.0000
0.0000 5.0095 0.0000
0.0000 0.0000 5.0095
Ac Lu C
1 3 1
direct
0.0000 0.0000 0.0000 Ac
0.0000 0.5000 0.5000 Lu
0.5000 0.0000 0.5000 Lu
0.5000 0.5000 0.0000 Lu
0.5000 0.5000 0.5000 C
```

Output
Raw total energy ... -5.35 eV per atom
Calculated volume ... 125.7 Å³/cell